Record 1
Below is crystalline CuOs2W at its relaxed geometry, with properties calculated at the PBE-GGA level.

calculated formation energy: 394 meV per atom
ΔE to the lowest computed polymorph: 71 kJ/mol of formula units
N(E_F): 7.83 states/eV/cell
crystal system: orthorhombic

Cell: 2.8510 4.5016 8.9115 Å, 90.00 90.00 90.00°
Space group Immm (No. 71)
Unique sites:
Cu1 0.0000 0.0000 0.0000 (multiplicity 2)
Os1 0.0000 0.5000 0.2627 (multiplicity 4)
W1 0.0000 0.0000 0.5000 (multiplicity 2)

***

Record 2
Below is crystalline CuOs2W at its relaxed geometry, with properties calculated at the PBE-GGA level.

calculated formation energy: 536 meV per atom
ΔE to the lowest computed polymorph: 126 kJ/mol of formula units
N(E_F): 9.14 states/eV/cell
crystal system: orthorhombic

Cell: 2.8494 4.5237 9.1484 Å, 90.00 90.00 90.00°
Space group Cmm2 (No. 35)
Unique sites:
Cu1 0.0000 0.0000 0.0000 (multiplicity 2)
Os1 0.0000 0.0000 0.4999 (multiplicity 2)
Os2 0.0000 0.5000 0.2464 (multiplicity 2)
W1 0.0000 0.5000 0.7510 (multiplicity 2)